Record 1
Na2AgAuCl6: relaxed, GGA-PBE.

Cell and atoms, written as POSCAR:
```
Na2AgAuCl6
1.0
-3.557 3.557 5.453
3.557 -3.557 5.453
3.557 3.557 -5.453
Ag Au Cl Na
1 1 6 2
direct
0.500 0.500 0.000
0.000 0.000 0.000
0.766 0.234 0.000
0.278 0.278 0.000
0.722 0.722 0.000
0.234 0.766 0.000
0.234 0.234 0.468
0.766 0.766 0.532
0.750 0.250 0.500
0.250 0.750 0.500
```

Values from the calculation:
DFT total energy	-28.0	eV per cell
ρ	3.39	g/cm3

***

Record 2
Hf4TlPbC2: relaxed, GGA-PBE.

Cell and atoms, written as POSCAR:
```
Hf4TlPbC2
1.0
3.359 0.000 0.000
-1.680 2.909 0.000
0.000 0.000 14.781
C Hf Pb Tl
2 4 1 1
direct
0.667 0.333 0.250
0.667 0.333 0.750
0.333 0.667 0.169
0.000 0.000 0.331
0.000 0.000 0.669
0.333 0.667 0.831
0.000 0.000 0.000
0.333 0.667 0.500
```

Values from the calculation:
DFT total energy	-69.4	eV per cell
ρ	13.22	g/cm3

***

Record 3
BaNpMo: relaxed, GGA-PBE.

Cell and atoms, written as POSCAR:
```
BaNpMo
1.0
0.000 3.339 3.339
3.339 0.000 3.339
3.339 3.339 0.000
Ba Mo Np
1 1 1
direct
0.000 0.000 0.000
0.750 0.750 0.750
0.250 0.250 0.250
```

Values from the calculation:
energy relative to the lowest polymorph listed for this composition	0.652	eV/atom
DFT total energy	-19.3	eV per cell
ρ	10.49	g/cm3

***

Record 4
HfCoHgGe: relaxed, GGA-PBE.

Cell and atoms, written as POSCAR:
```
HfCoHgGe
1.0
-3.127 0.721 3.291
-4.003 2.010 -1.033
-3.886 -2.454 0.055
Co Ge Hf Hg
1 1 1 1
direct
0.750 0.750 0.750
0.000 0.000 0.000
0.250 0.250 0.250
0.500 0.500 0.500
```

Values from the calculation:
energy relative to the lowest polymorph listed for this composition	0.000	eV/atom
DFT total energy	-21.6	eV per cell
ρ	12.35	g/cm3

***

Record 5
TaCdCuSi: relaxed, GGA-PBE.

Cell and atoms, written as POSCAR:
```
TaCdCuSi
1.0
0.807 -4.457 0.567
2.602 -1.425 3.469
-1.890 -2.234 3.503
Cd Cu Si Ta
1 1 1 1
direct
0.250 0.250 0.250
0.750 0.750 0.750
0.000 0.000 0.000
0.500 0.500 0.500
```

Values from the calculation:
energy relative to the lowest polymorph listed for this composition	0.342	eV/atom
DFT total energy	-18.8	eV per cell
ρ	9.51	g/cm3

***

Record 6
TbPr2In3PtAu2: relaxed, GGA-PBE.

Cell and atoms, written as POSCAR:
```
TbPr2In3PtAu2
1.0
-3.325 -2.172 -0.737
4.436 -5.989 -2.365
-2.058 0.600 7.520
Au In Pr Pt Tb
2 3 2 1 1
direct
0.500 0.664 0.341
0.500 0.341 0.664
0.500 0.251 0.251
0.500 0.999 0.748
0.500 0.748 0.999
0.000 0.406 0.000
0.000 0.000 0.406
0.000 0.994 0.994
0.000 0.598 0.598
```

Values from the calculation:
DFT total energy	-42.3	eV per cell
ρ	10.66	g/cm3

***

Record 7
Ta4Al9: relaxed, GGA-PBE.

Cell and atoms, written as POSCAR:
```
Ta4Al9
1.0
2.538 1.465 9.493
-2.538 1.465 9.493
0.000 -2.931 9.493
Al Ta
9 4
direct
0.000 0.000 0.000
0.587 0.092 0.092
0.092 0.587 0.092
0.166 0.166 0.166
0.908 0.908 0.413
0.092 0.092 0.587
0.834 0.834 0.834
0.908 0.413 0.908
0.413 0.908 0.908
0.352 0.352 0.352
0.453 0.453 0.453
0.547 0.547 0.547
0.648 0.648 0.648
```

Values from the calculation:
energy relative to the lowest polymorph listed for this composition	0.036	eV/atom
DFT total energy	-83.0	eV per cell
ρ	7.58	g/cm3

***

Record 8
NdNi: relaxed, GGA-PBE.

Cell and atoms, written as POSCAR:
```
NdNi
1.0
0.000 3.075 3.075
3.075 0.000 3.075
3.075 3.075 0.000
Nd Ni
1 1
direct
0.000 0.000 0.000
0.250 0.250 0.250
```

Values from the calculation:
DFT total energy	-9.4	eV per cell
ρ	5.80	g/cm3
formation enthalpy at 0 K	86	kJ/mol of formula units

***

Record 9
CsCd2As2: relaxed, GGA-PBE.

Cell and atoms, written as POSCAR:
```
CsCd2As2
1.0
-2.261 2.261 7.328
2.261 -2.261 7.328
2.261 2.261 -7.328
As Cd Cs
2 2 1
direct
0.360 0.360 0.000
0.640 0.640 0.000
0.750 0.250 0.500
0.250 0.750 0.500
0.000 0.000 0.000
```

Values from the calculation:
DFT total energy	-13.3	eV per cell
ρ	5.62	g/cm3

***

Record 10
Zr2Mo4As3N3: relaxed, GGA-PBE.

Cell and atoms, written as POSCAR:
```
Zr2Mo4As3N3
1.0
-4.013 3.827 -1.212
-2.341 3.048 4.178
10.719 6.168 -2.433
As Mo N Zr
6 8 6 4
direct
0.783 0.581 0.249
0.051 0.949 0.250
0.419 0.217 0.251
0.581 0.783 0.749
0.949 0.051 0.750
0.217 0.419 0.751
0.049 0.179 0.085
0.697 0.882 0.088
0.118 0.303 0.412
0.821 0.951 0.415
0.179 0.049 0.585
0.882 0.697 0.588
0.303 0.118 0.912
0.951 0.821 0.915
0.659 0.182 0.000
0.000 0.500 0.000
0.341 0.818 0.000
0.182 0.659 0.500
0.500 0.000 0.500
0.818 0.341 0.500
0.354 0.533 0.102
0.467 0.646 0.398
0.533 0.354 0.602
0.646 0.467 0.898
```

Values from the calculation:
DFT total energy	-211.6	eV per cell
ρ	8.14	g/cm3

***

Record 11
TbErGe2Ir: relaxed, GGA-PBE.

Cell and atoms, written as POSCAR:
```
TbErGe2Ir
1.0
-2.058 4.542 -2.723
-3.524 4.263 1.301
9.607 1.079 3.575
Er Ge Ir Tb
2 4 2 2
direct
0.811 0.811 0.381
0.189 0.189 0.619
0.647 0.647 0.054
0.522 0.522 0.386
0.478 0.478 0.614
0.353 0.353 0.946
0.272 0.272 0.166
0.728 0.728 0.834
0.992 0.992 0.171
0.008 0.008 0.829
```

Values from the calculation:
energy relative to the lowest polymorph listed for this composition	0.002	eV/atom
DFT total energy	-63.8	eV per cell
ρ	10.63	g/cm3

***

Record 12
Er8Ga3Co: relaxed, GGA-PBE.

Cell and atoms, written as POSCAR:
```
Er8Ga3Co
1.0
-0.467 -0.172 9.906
7.945 -3.686 -4.655
3.000 6.152 0.248
Co Er Ga
2 16 6
direct
0.333 0.667 0.060
0.667 0.333 0.560
0.667 0.333 0.173
0.000 0.000 0.270
0.464 0.929 0.293
0.071 0.536 0.293
0.464 0.536 0.293
0.346 0.173 0.492
0.827 0.173 0.492
0.827 0.654 0.492
0.333 0.667 0.673
0.000 0.000 0.770
0.536 0.071 0.793
0.536 0.464 0.793
0.929 0.464 0.793
0.173 0.827 0.992
0.654 0.827 0.992
0.173 0.346 0.992
0.837 0.673 0.039
0.327 0.163 0.039
0.837 0.163 0.039
0.163 0.327 0.539
0.163 0.837 0.539
0.673 0.837 0.539
```

Values from the calculation:
DFT total energy	-115.5	eV per cell
ρ	9.14	g/cm3

***

Record 13
Ho4ZnRe2: relaxed, GGA-PBE.

Cell and atoms, written as POSCAR:
```
Ho4ZnRe2
1.0
3.610 -4.127 0.000
3.610 4.127 0.000
-0.665 0.000 6.178
Ho Re Zn
4 2 1
direct
0.564 0.142 0.258
0.142 0.564 0.258
0.858 0.436 0.742
0.436 0.858 0.742
0.641 0.641 0.121
0.359 0.359 0.879
0.000 0.000 0.000
```

Values from the calculation:
DFT total energy	-43.0	eV per cell
ρ	9.90	g/cm3
formation enthalpy at 0 K	139	kJ/mol of formula units

***

Record 14
HoHfB: relaxed, GGA-PBE.

Cell and atoms, written as POSCAR:
```
HoHfB
1.0
0.000 3.049 3.049
3.049 0.000 3.049
3.049 3.049 0.000
B Hf Ho
1 1 1
direct
0.000 0.000 0.000
0.250 0.250 0.250
0.750 0.750 0.750
```

Values from the calculation:
energy relative to the lowest polymorph listed for this composition	0.000	eV/atom
DFT total energy	-21.0	eV per cell
ρ	10.37	g/cm3

***

Record 15
NaZrPa: relaxed, GGA-PBE.

Cell and atoms, written as POSCAR:
```
NaZrPa
1.0
-0.264 -4.868 1.027
-3.181 -1.646 3.462
-4.018 -2.616 -1.352
Na Pa Zr
1 1 1
direct
0.250 0.250 0.250
0.000 0.000 0.000
0.750 0.750 0.750
```

Values from the calculation:
energy relative to the lowest polymorph listed for this composition	0.192	eV/atom
DFT total energy	-14.5	eV per cell
ρ	6.56	g/cm3

***

Record 16
HgTe3P: relaxed, GGA-PBE.

Cell and atoms, written as POSCAR:
```
HgTe3P
1.0
-3.319 -4.962 -3.777
7.056 0.478 -0.501
-0.225 -2.634 7.837
Hg P Te
2 2 6
direct
0.134 0.750 0.348
0.866 0.250 0.652
0.462 0.444 0.349
0.538 0.556 0.651
0.056 0.321 0.193
0.725 0.765 0.265
0.521 0.125 0.291
0.479 0.875 0.709
0.275 0.235 0.735
0.944 0.679 0.807
```

Values from the calculation:
DFT total energy	-29.7	eV per cell
ρ	6.08	g/cm3

***

Record 17
HfS3: relaxed, GGA-PBE.

Cell and atoms, written as POSCAR:
```
HfS3
1.0
-1.802 1.802 5.325
1.802 -1.802 5.325
1.802 1.802 -5.325
Hf S
1 3
direct
0.000 0.000 0.000
0.500 0.500 0.000
0.750 0.250 0.500
0.250 0.750 0.500
```

Values from the calculation:
DFT total energy	-23.6	eV per cell
ρ	6.59	g/cm3

***

Record 18
KPrMgS3: relaxed, GGA-PBE.

Cell and atoms, written as POSCAR:
```
KPrMgS3
1.0
8.875 0.000 0.000
0.000 4.223 0.000
-2.461 0.000 9.503
K Mg Pr S
2 2 2 6
direct
0.691 0.250 0.205
0.309 0.750 0.795
0.417 0.750 0.394
0.583 0.250 0.606
0.165 0.250 0.143
0.835 0.750 0.857
0.387 0.750 0.144
0.951 0.750 0.151
0.311 0.250 0.461
0.689 0.750 0.539
0.049 0.250 0.849
0.613 0.250 0.856
```

Values from the calculation:
energy relative to the lowest polymorph listed for this composition	0.018	eV/atom
DFT total energy	-59.3	eV per cell
ρ	2.80	g/cm3

***

Record 19
SmTmSi: relaxed, GGA-PBE.

Cell and atoms, written as POSCAR:
```
SmTmSi
1.0
2.231 -3.501 -2.535
-0.669 -4.668 1.192
-2.582 -2.910 -2.920
Si Sm Tm
1 1 1
direct
0.000 0.000 0.000
0.250 0.250 0.250
0.750 0.750 0.750
```

Values from the calculation:
energy relative to the lowest polymorph listed for this composition	0.000	eV/atom
DFT total energy	-16.0	eV per cell
ρ	7.09	g/cm3

***

Record 20
Gd4C2F5: relaxed, GGA-PBE.

Cell and atoms, written as POSCAR:
```
Gd4C2F5
1.0
-3.981 -7.172 1.119
-2.314 -3.321 7.222
-0.051 5.732 -5.973
C F Gd
2 5 4
direct
0.451 0.451 0.000
0.549 0.549 0.000
0.446 0.185 0.261
0.077 0.815 0.261
0.000 0.500 0.500
0.923 0.185 0.739
0.554 0.815 0.739
0.307 0.307 0.000
0.693 0.693 0.000
0.264 0.000 0.264
0.736 0.000 0.736
```

Values from the calculation:
DFT total energy	-73.6	eV per cell
ρ	7.20	g/cm3